No. 1
The following is a DFT calculation (PBE) of a relaxed structure of LiZr2CdH.

Summary:
Raw total energy: -24.0 eV per cell
Crystal system: tetragonal
Space group: No. 123

POSCAR file:
```
LiZr2CdH
1.0
4.3802 0.0000 0.0000
0.0000 4.3802 0.0000
0.0000 0.0000 4.3481
Zr H Cd Li
2 1 1 1
Direct
0.5000 0.0000 0.0000
0.0000 0.5000 0.0000
0.0000 0.0000 0.0000
0.5000 0.5000 0.5000
0.0000 0.0000 0.5000
```

No. 2
The following is a DFT calculation (PBE) of a relaxed structure of KCdAgBi.

Summary:
Raw total energy: -8.8 eV per cell
Crystal system: cubic
Space group: No. 216
Calculated formation energy: -0.007 eV per atom

POSCAR file:
```
KCdAgBi
1.0
-1.1245 4.3530 3.0043
-1.7125 -0.5995 5.0938
3.2344 1.3529 4.1166
Ag Bi K Cd
1 1 1 1
Direct
0.0000 0.0000 0.0000
0.2500 0.2500 0.2500
0.7500 0.7500 0.7500
0.5000 0.5000 0.5000
```

No. 3
The following is a DFT calculation (PBE) of a relaxed structure of Tb5Th4Sc2.

Summary:
Excess energy over the best structure of this formula in the dataset: 267 meV/atom
Raw total energy: -62.2 eV per cell
Crystal system: orthorhombic
Space group: No. 71
Calculated formation energy: 0.301 eV per atom

POSCAR file:
```
Tb5Th4Sc2
1.0
-2.8496 -0.8482 1.7806
-2.0493 -6.7124 -6.4768
8.2479 -3.5670 8.1279
Sc Tb Th
2 5 4
Direct
0.2708 0.2708 0.5416
0.7292 0.7292 0.4584
0.8403 0.0583 0.6807
0.5000 0.0000 0.0000
0.1597 0.9417 0.3193
0.8403 0.6224 0.6807
0.1597 0.3776 0.3193
0.0000 0.2912 0.0000
0.5934 0.5934 0.1869
0.0000 0.7088 0.0000
0.4066 0.4066 0.8131
```

No. 4
The following is a DFT calculation (PBE) of a relaxed structure of Ca2Zn6GaRu.

Summary:
Raw total energy: -50.4 eV per cell
Crystal system: orthorhombic
Space group: No. 59
Calculated formation energy: -0.125 eV per atom

POSCAR file:
```
Ca2Zn6GaRu
1.0
-2.0899 -0.0153 6.7162
-4.2214 -4.9493 -1.3248
6.3418 -5.9338 1.9599
Zn Ca Ga Ru
12 4 2 2
Direct
0.1943 0.9110 0.5000
0.3079 0.4033 0.5000
0.0000 0.7540 0.7490
0.8079 0.5967 0.0000
0.8057 0.9110 0.5000
0.6921 0.4033 0.5000
0.1921 0.5967 0.0000
0.0000 0.7540 0.2510
0.3057 0.0890 0.0000
0.5000 0.2460 0.2490
0.5000 0.2460 0.7510
0.6943 0.0890 0.0000
0.5000 0.7677 0.7453
0.0000 0.2323 0.7547
0.0000 0.2323 0.2453
0.5000 0.7677 0.2547
0.0000 0.5707 0.5000
0.5000 0.4293 0.0000
0.5000 0.0878 0.5000
0.0000 0.9122 0.0000
```